# 1
Compound: ZnIn4Hg
Source: Alexandria
Functional: GGA-PBE
Structure: optimized geometry

Cell lengths 4.7147, 4.7147, 7.2440 Å; angles 90.00, 90.00, 90.00 degrees
Space group P4/mmm (No. 123)
Symmetry-distinct sites (fractional):
Zn 0.0000 0.0000 0.0000
In 0.0000 0.5000 0.2337
Hg 0.5000 0.5000 0.5000

Summary:
* energy above the lowest structure with this stoichiometry: 0.007 eV per atom
* energy of formation: 0.048 eV per atom
* density of states at the Fermi level: 2.31 states/eV/cell
* uncorrected energy: -12.24 eV per formula unit
* size of the total moment: 0.00 μB per formula unit
* ρ: 7.48 g cm⁻³

# 2
Compound: HfGaSb2
Source: Alexandria
Functional: GGA-PBE
Structure: optimized geometry

Cell lengths 3.8786, 3.8786, 23.9372 Å; angles 90.00, 90.00, 120.00 degrees
Space group R3m (No. 160, hexagonal axes)
Symmetry-distinct sites (fractional):
Hf 0.0000 0.0000 0.0000
Ga 0.0000 0.0000 0.1662
Sb 0.0000 0.0000 0.4121
Sb 0.0000 0.0000 0.5886

Summary:
* density of states at the Fermi level: 5.11 states/eV/cell
* energy relative to the elements, uncorrected: -0.114 eV per atom
* uncorrected energy: -21.68 eV per formula unit
* size of the total moment: 0.00 μB per formula unit
* ρ: 7.86 g cm⁻³

# 3
Compound: Tc4Rh
Source: Alexandria
Functional: GGA-PBE
Structure: optimized geometry

Cell lengths 3.7680, 3.7680, 11.5242 Å; angles 90.00, 90.00, 90.00 degrees
Space group I4/mmm (No. 139)
Symmetry-distinct sites (fractional):
Tc 0.0000 0.0000 0.1019
Tc 0.0000 0.5000 0.2500
Rh 0.0000 0.0000 0.5000

Summary:
* energy above the lowest structure with this stoichiometry: 0.592 eV per atom
* energy of formation: 0.588 eV per atom
* density of states at the Fermi level: 10.58 states/eV/cell
* uncorrected energy: -45.88 eV per formula unit
* size of the total moment: 0.00 μB per formula unit
* ρ: 10.05 g cm⁻³

# 4
Compound: Ir3Ru
Source: Alexandria
Functional: GGA-PBE
Structure: optimized geometry

Cell lengths 3.8579, 3.8579, 7.7146 Å; angles 90.00, 90.00, 90.00 degrees
Space group I4/mmm (No. 139)
Symmetry-distinct sites (fractional):
Ir 0.0000 0.0000 0.0000
Ir 0.0000 0.5000 0.2500
Ru 0.0000 0.0000 0.5000

Summary:
* energy of formation: -0.026 eV per atom
* density of states at the Fermi level: 7.67 states/eV/cell
* uncorrected energy: -35.96 eV per formula unit
* size of the total moment: 0.00 μB per formula unit
* ρ: 19.60 g cm⁻³

# 5
Compound: Ti5Mn2Zn2Rh
Source: Alexandria
Functional: GGA-PBE
Structure: optimized geometry

Cell lengths 10.1656, 10.1656, 3.0280 Å; angles 90.00, 90.00, 90.00 degrees
Space group P4/mbm (No. 127)
Symmetry-distinct sites (fractional):
Ti 0.0000 0.5000 0.0000
Ti 0.0769 0.2002 0.0000
Mn 0.1289 0.3711 0.5000
Zn 0.1709 0.6709 0.5000
Rh 0.0000 0.0000 0.5000

Summary:
* energy of formation: -0.123 eV per atom
* density of states at the Fermi level: 17.34 states/eV/cell
* uncorrected energy: -68.94 eV per formula unit
* size of the total moment: 0.00 μB per formula unit
* ρ: 6.19 g cm⁻³

# 6
Compound: FeRe2Ir
Source: Alexandria
Functional: GGA-PBE
Structure: optimized geometry

Cell lengths 2.7426, 2.7426, 26.2498 Å; angles 90.00, 90.00, 120.00 degrees
Space group R3m (No. 160, hexagonal axes)
Symmetry-distinct sites (fractional):
Fe 0.0000 0.0000 0.0000
Re 0.0000 0.0000 0.5008
Re 0.0000 0.0000 0.7486
Ir 0.0000 0.0000 0.2533

Summary:
* energy above the lowest structure with this stoichiometry: 0.101 eV per atom
* energy of formation: 0.049 eV per atom
* density of states at the Fermi level: 14.58 states/eV/cell
* uncorrected energy: -42.02 eV per formula unit
* size of the total moment: 2.22 μB per formula unit
* ρ: 18.08 g cm⁻³

# 7
Compound: KScSbTe2
Source: Alexandria
Functional: GGA-PBE
Structure: optimized geometry

Cell lengths 5.6877, 5.6877, 5.5449 Å; angles 90.00, 90.00, 90.00 degrees
Space group P4/mmm (No. 123)
Symmetry-distinct sites (fractional):
K 0.0000 0.0000 0.0000
Sc 0.5000 0.5000 0.5000
Sb 0.5000 0.5000 0.0000
Te 0.0000 0.5000 0.5000

Summary:
* energy above the lowest structure with this stoichiometry: 0.000 eV per atom
* density of states at the Fermi level: 5.31 states/eV/cell
* energy relative to the elements, uncorrected: -0.558 eV per atom
* uncorrected energy: -20.63 eV per formula unit
* size of the total moment: 0.00 μB per formula unit
* ρ: 4.27 g cm⁻³

# 8
Compound: NaSnMoH
Source: Alexandria
Functional: GGA-PBE
Structure: optimized geometry

Cell lengths 2.8928, 3.0910, 7.7937 Å; angles 88.02, 79.67, 77.73 degrees
Space group P1 (No. 1)
Symmetry-distinct sites (fractional):
Na 0.0000 0.0000 0.0000
Sn 0.2979 0.9966 0.3934
Mo 0.6631 0.4958 0.6619
H 0.3936 0.4839 0.1856

Summary:
* energy above the lowest structure with this stoichiometry: 0.398 eV per atom
* density of states at the Fermi level: 2.68 states/eV/cell
* uncorrected energy: -17.26 eV per formula unit
* size of the total moment: 0.00 μB per formula unit
* ρ: 5.92 g cm⁻³